A plane-wave DFT calculation with PBE was carried out for crystalline Sm2ErTm at its relaxed geometry.

DFT formation energy: 0.1 eV/f.u.
Offset from the most stable computed form: 0.00 eV per formula unit
N(E_F): 14.31 states/eV/cell
V: 32.45 Å³/atom
Calculated total energy: -4.60 eV/atom

a b c (Å): 7.2481 11.3927 3.6269
angles (deg): 90.00 119.93 90.00
Last column: nearest neighbours and their distance in Å.
Positions (direct):
Sm 0.0000 0.2496 0.0000  3 Tm 3.53-3.54, 3 Er 3.53-3.54, 6 Sm 3.62-3.63
Sm 0.0000 0.7504 0.0000  3 Tm 3.53-3.54, 3 Er 3.53-3.54, 6 Sm 3.62-3.63
Sm 0.5000 0.2504 0.0000  3 Tm 3.53-3.54, 3 Er 3.53-3.54, 6 Sm 3.62-3.63
Sm 0.5000 0.7496 0.0000  3 Tm 3.53-3.54, 3 Er 3.53-3.54, 6 Sm 3.62-3.63
Er 0.3336 0.0000 0.3361  6 Sm 3.53-3.54, 4 Tm 3.62-3.63, 2 Er 3.63
Er 0.8336 0.5000 0.3361  6 Sm 3.53-3.54, 4 Tm 3.62-3.63, 2 Er 3.63
Tm 0.3331 0.5000 0.3357  6 Sm 3.53-3.54, 4 Er 3.62-3.63, 2 Tm 3.63
Tm 0.8331 0.0000 0.3357  6 Sm 3.53-3.54, 4 Er 3.62-3.63, 2 Tm 3.63